Record 1
First-principles (PBE+U) data for an optimized crystal structure of FeNiOF2, as listed in Alexandria via LeMat-Bulk.

CIF file:
```
data_FeNiOF2
_chemical_formula_sum 'Fe1 Ni1 O1 F2'
_cell_length_a 3.815
_cell_length_b 3.815
_cell_length_c 4.032
_cell_angle_alpha 90.00
_cell_angle_beta 90.00
_cell_angle_gamma 90.00
_symmetry_space_group_name_H-M 'P 4/m m m'
_symmetry_Int_Tables_number 123
_symmetry_space_group_name_Hall '-P 4 2'
loop_
_atom_site_label
_atom_site_type_symbol
_atom_site_fract_x
_atom_site_fract_y
_atom_site_fract_z
Fe1 Fe 0.000 0.000 0.000
Ni1 Ni 0.500 0.500 0.500
O1 O 0.500 0.500 0.000
F1 F 0.000 0.500 0.500
```

final energy = -4.45 eV/atom

Record 2
First-principles (PBE+U) data for an optimized crystal structure of FeNiO2F, as listed in Alexandria via LeMat-Bulk.

CIF file:
```
data_FeNiO2F
_chemical_formula_sum 'Fe1 Ni1 O2 F1'
_cell_length_a 3.761
_cell_length_b 3.761
_cell_length_c 3.840
_cell_angle_alpha 90.00
_cell_angle_beta 90.00
_cell_angle_gamma 90.00
_symmetry_space_group_name_H-M 'P 4/m m m'
_symmetry_Int_Tables_number 123
_symmetry_space_group_name_Hall '-P 4 2'
loop_
_atom_site_label
_atom_site_type_symbol
_atom_site_fract_x
_atom_site_fract_y
_atom_site_fract_z
Fe1 Fe 0.000 0.000 0.000
Ni1 Ni 0.500 0.500 0.500
O1 O 0.000 0.500 0.500
F1 F 0.500 0.500 0.000
```

final energy = -4.84 eV/atom

Record 3
First-principles (PBE+U) data for an optimized crystal structure of FeNiO2F, as listed in Alexandria via LeMat-Bulk.

CIF file:
```
data_FeNiO2F
_chemical_formula_sum 'Fe1 Ni1 O2 F1'
_cell_length_a 3.881
_cell_length_b 3.881
_cell_length_c 3.836
_cell_angle_alpha 90.00
_cell_angle_beta 90.00
_cell_angle_gamma 90.00
_symmetry_space_group_name_H-M 'P 4/m m m'
_symmetry_Int_Tables_number 123
_symmetry_space_group_name_Hall '-P 4 2'
loop_
_atom_site_label
_atom_site_type_symbol
_atom_site_fract_x
_atom_site_fract_y
_atom_site_fract_z
Fe1 Fe 0.000 0.000 0.000
Ni1 Ni 0.500 0.500 0.500
O1 O 0.000 0.500 0.000
F1 F 0.000 0.000 0.500
```

final energy = -4.85 eV/atom

Record 4
First-principles (PBE+U) data for an optimized crystal structure of Rb2FeNiF6, as listed in Alexandria via LeMat-Bulk.

CIF file:
```
data_Rb2FeNiF6
_chemical_formula_sum 'Rb4 Fe2 Ni2 F12'
_cell_length_a 5.950
_cell_length_b 5.950
_cell_length_c 8.264
_cell_angle_alpha 90.00
_cell_angle_beta 90.00
_cell_angle_gamma 90.00
_symmetry_space_group_name_H-M 'I 4/m m m'
_symmetry_Int_Tables_number 139
_symmetry_space_group_name_Hall '-I 4 2'
loop_
_atom_site_label
_atom_site_type_symbol
_atom_site_fract_x
_atom_site_fract_y
_atom_site_fract_z
Rb1 Rb 0.000 0.500 0.250
Fe1 Fe 0.000 0.000 0.000
Ni1 Ni 0.000 0.000 0.500
F1 F 0.000 0.000 0.248
F2 F 0.244 0.244 0.500
```

final energy = -4.68 eV/atom

Record 5
First-principles (PBE+U) data for an optimized crystal structure of Rb2FeNi3F12, as listed in Alexandria via LeMat-Bulk.

CIF file:
```
data_Rb2FeNi3F12
_chemical_formula_sum 'Rb6 Fe3 Ni9 F36'
_cell_length_a 7.2055
_cell_length_b 7.2055
_cell_length_c 18.2317
_cell_angle_alpha 90.00
_cell_angle_beta 90.00
_cell_angle_gamma 120.00
_symmetry_space_group_name_H-M 'R -3 m'
_symmetry_Int_Tables_number 166
_symmetry_space_group_name_Hall '-R 3 2"'
loop_
_atom_site_label
_atom_site_type_symbol
_atom_site_fract_x
_atom_site_fract_y
_atom_site_fract_z
Rb1 Rb 0.0000 0.0000 0.1208
Fe1 Fe 0.0000 0.0000 0.5000
Ni1 Ni 0.0000 0.5000 0.0000
F1 F 0.0704 0.5352 0.3563
F2 F 0.0712 0.5356 0.1084
```

final energy = -4.42 eV/atom

Record 6
First-principles (PBE+U) data for an optimized crystal structure of Rb2Fe3NiF12, as listed in Alexandria via LeMat-Bulk.

CIF file:
```
data_Rb2Fe3NiF12
_chemical_formula_sum 'Rb6 Fe9 Ni3 F36'
_cell_length_a 7.4658
_cell_length_b 7.4658
_cell_length_c 17.9321
_cell_angle_alpha 90.00
_cell_angle_beta 90.00
_cell_angle_gamma 120.00
_symmetry_space_group_name_H-M 'R -3 m'
_symmetry_Int_Tables_number 166
_symmetry_space_group_name_Hall '-R 3 2"'
loop_
_atom_site_label
_atom_site_type_symbol
_atom_site_fract_x
_atom_site_fract_y
_atom_site_fract_z
Rb1 Rb 0.0000 0.0000 0.1313
Fe1 Fe 0.0000 0.5000 0.0000
Ni1 Ni 0.0000 0.0000 0.5000
F1 F 0.0687 0.5343 0.1066
F2 F 0.0745 0.5373 0.3566
```

final energy = -4.96 eV/atom

Record 7
First-principles (PBE+U) data for an optimized crystal structure of RbFeNiF6, as listed in Alexandria via LeMat-Bulk.

CIF file:
```
data_RbFeNiF6
_chemical_formula_sum 'Rb2 Fe2 Ni2 F12'
_cell_length_a 5.364
_cell_length_b 9.279
_cell_length_c 6.078
_cell_angle_alpha 90.00
_cell_angle_beta 90.10
_cell_angle_gamma 90.00
_symmetry_space_group_name_H-M 'C 1 2 1'
_symmetry_Int_Tables_number 5
_symmetry_space_group_name_Hall 'C 2y'
loop_
_atom_site_label
_atom_site_type_symbol
_atom_site_fract_x
_atom_site_fract_y
_atom_site_fract_z
Rb1 Rb 0.000 0.000 0.000
Fe1 Fe 0.000 0.333 0.500
Ni1 Ni 0.000 0.667 0.500
F1 F 0.120 0.495 0.681
F2 F 0.183 0.193 0.681
F3 F 0.198 0.812 0.681
```

final energy = -4.77 eV/atom

Record 8
First-principles (PBE+U) data for an optimized crystal structure of FeSi2NiF, as listed in Alexandria via LeMat-Bulk.

CIF file:
```
data_FeSi2NiF
_chemical_formula_sum 'Fe1 Si2 Ni1 F1'
_cell_length_a 4.650
_cell_length_b 4.650
_cell_length_c 3.745
_cell_angle_alpha 90.00
_cell_angle_beta 90.00
_cell_angle_gamma 90.00
_symmetry_space_group_name_H-M 'P 4/m m m'
_symmetry_Int_Tables_number 123
_symmetry_space_group_name_Hall '-P 4 2'
loop_
_atom_site_label
_atom_site_type_symbol
_atom_site_fract_x
_atom_site_fract_y
_atom_site_fract_z
Fe1 Fe 0.000 0.000 0.000
Si1 Si 0.000 0.500 0.000
Ni1 Ni 0.500 0.500 0.500
F1 F 0.000 0.000 0.500
```

final energy = -3.52 eV/atom

Record 9
First-principles (PBE+U) data for an optimized crystal structure of SrFe2NiF, as listed in Alexandria via LeMat-Bulk.

CIF file:
```
data_SrFe2NiF
_chemical_formula_sum 'Sr1 Fe2 Ni1 F1'
_cell_length_a 4.450
_cell_length_b 4.450
_cell_length_c 6.072
_cell_angle_alpha 90.00
_cell_angle_beta 90.00
_cell_angle_gamma 90.00
_symmetry_space_group_name_H-M 'P 4/m m m'
_symmetry_Int_Tables_number 123
_symmetry_space_group_name_Hall '-P 4 2'
loop_
_atom_site_label
_atom_site_type_symbol
_atom_site_fract_x
_atom_site_fract_y
_atom_site_fract_z
Sr1 Sr 0.000 0.000 0.000
Fe1 Fe 0.000 0.500 0.500
Ni1 Ni 0.000 0.000 0.500
F1 F 0.500 0.500 0.000
```

final energy = -3.31 eV/atom

Record 10
First-principles (PBE+U) data for an optimized crystal structure of Tl3Fe2NiF9, as listed in Alexandria via LeMat-Bulk.

CIF file:
```
data_Tl3Fe2NiF9
_chemical_formula_sum 'Tl3 Fe2 Ni1 F9'
_cell_length_a 5.9434
_cell_length_b 5.9434
_cell_length_c 7.3073
_cell_angle_alpha 90.00
_cell_angle_beta 90.00
_cell_angle_gamma 120.00
_symmetry_space_group_name_H-M 'P -3 m 1'
_symmetry_Int_Tables_number 164
_symmetry_space_group_name_Hall '-P 3 2"'
loop_
_atom_site_label
_atom_site_type_symbol
_atom_site_fract_x
_atom_site_fract_y
_atom_site_fract_z
Tl1 Tl 0.0000 0.0000 0.0000
Tl2 Tl 0.3333 0.6667 0.6631
Fe1 Fe 0.3333 0.6667 0.1667
Ni1 Ni 0.0000 0.0000 0.5000
F1 F 0.0000 0.5000 0.0000
F2 F 0.1642 0.3285 0.3373
```

final energy = -4.52 eV/atom

Record 11
First-principles (PBE+U) data for an optimized crystal structure of TlFe2NiF, as listed in Alexandria via LeMat-Bulk.

CIF file:
```
data_TlFe2NiF
_chemical_formula_sum 'Tl1 Fe2 Ni1 F1'
_cell_length_a 5.253
_cell_length_b 5.253
_cell_length_c 5.003
_cell_angle_alpha 90.00
_cell_angle_beta 90.00
_cell_angle_gamma 90.00
_symmetry_space_group_name_H-M 'P 4/m m m'
_symmetry_Int_Tables_number 123
_symmetry_space_group_name_Hall '-P 4 2'
loop_
_atom_site_label
_atom_site_type_symbol
_atom_site_fract_x
_atom_site_fract_y
_atom_site_fract_z
Tl1 Tl 0.000 0.000 0.000
Fe1 Fe 0.000 0.500 0.000
Ni1 Ni 0.000 0.000 0.500
F1 F 0.500 0.500 0.500
```

final energy = -2.59 eV/atom

Record 12
First-principles (PBE+U) data for an optimized crystal structure of ZnFeNiF6, as listed in Alexandria via LeMat-Bulk.

CIF file:
```
data_ZnFeNiF6
_chemical_formula_sum 'Zn2 Fe2 Ni2 F12'
_cell_length_a 4.766
_cell_length_b 4.766
_cell_length_c 9.612
_cell_angle_alpha 90.00
_cell_angle_beta 90.00
_cell_angle_gamma 90.00
_symmetry_space_group_name_H-M 'P 42 n m'
_symmetry_Int_Tables_number 102
_symmetry_space_group_name_Hall 'P 4n -2n'
loop_
_atom_site_label
_atom_site_type_symbol
_atom_site_fract_x
_atom_site_fract_y
_atom_site_fract_z
Zn1 Zn 0.000 0.000 0.000
Fe1 Fe 0.000 0.000 0.668
Ni1 Ni 0.000 0.000 0.335
F1 F 0.194 0.194 0.170
F2 F 0.197 0.197 0.496
F3 F 0.201 0.201 0.837
```

final energy = -4.62 eV/atom

Record 13
First-principles (PBE+U) data for an optimized crystal structure of NpFe2F11, as listed in Alexandria via LeMat-Bulk.

CIF file:
```
data_NpFe2F11
_chemical_formula_sum 'Np4 Fe8 F44'
_cell_length_a 7.407
_cell_length_b 9.439
_cell_length_c 10.922
_cell_angle_alpha 90.00
_cell_angle_beta 90.00
_cell_angle_gamma 90.00
_symmetry_space_group_name_H-M 'I b a m'
_symmetry_Int_Tables_number 72
_symmetry_space_group_name_Hall '-I 2 2c'
loop_
_atom_site_label
_atom_site_type_symbol
_atom_site_fract_x
_atom_site_fract_y
_atom_site_fract_z
Np1 Np 0.000 0.000 0.250
Fe1 Fe 0.122 0.316 0.000
F1 F 0.000 0.500 0.000
F2 F 0.094 0.200 0.150
F3 F 0.144 0.272 0.500
F4 F 0.216 0.054 0.369
```

final energy = -5.85 eV/atom

Record 14
First-principles (PBE+U) data for an optimized crystal structure of Np2FeF8, as listed in Alexandria via LeMat-Bulk.

CIF file:
```
data_Np2FeF8
_chemical_formula_sum 'Np4 Fe2 F16'
_cell_length_a 12.986
_cell_length_b 4.024
_cell_length_c 7.341
_cell_angle_alpha 90.00
_cell_angle_beta 101.47
_cell_angle_gamma 90.00
_symmetry_space_group_name_H-M 'C 1 2/m 1'
_symmetry_Int_Tables_number 12
_symmetry_space_group_name_Hall '-C 2y'
loop_
_atom_site_label
_atom_site_type_symbol
_atom_site_fract_x
_atom_site_fract_y
_atom_site_fract_z
Np1 Np 0.239 0.000 0.243
Fe1 Fe 0.000 0.000 0.500
F1 F 0.066 0.000 0.280
F2 F 0.086 0.500 0.624
F3 F 0.197 0.500 0.052
F4 F 0.226 0.000 0.587
```

final energy = -7.31 eV/atom

Record 15
First-principles (PBE+U) data for an optimized crystal structure of NpFeO3F6, as listed in Alexandria via LeMat-Bulk.

CIF file:
```
data_NpFeO3F6
_chemical_formula_sum 'Np4 Fe4 O12 F24'
_cell_length_a 11.103
_cell_length_b 7.308
_cell_length_c 8.952
_cell_angle_alpha 90.00
_cell_angle_beta 103.95
_cell_angle_gamma 90.00
_symmetry_space_group_name_H-M 'C 1 2/c 1'
_symmetry_Int_Tables_number 15
_symmetry_space_group_name_Hall '-C 2yc'
loop_
_atom_site_label
_atom_site_type_symbol
_atom_site_fract_x
_atom_site_fract_y
_atom_site_fract_z
Np1 Np 0.000 0.124 0.250
Fe1 Fe 0.250 0.250 0.000
O1 O 0.000 0.370 0.250
O2 O 0.163 0.438 0.976
F1 F 0.074 0.155 0.480
F2 F 0.110 0.112 0.818
F3 F 0.170 0.166 0.172
```

final energy = -5.90 eV/atom

Record 16
First-principles (PBE+U) data for an optimized crystal structure of NpTlFeF6, as listed in Alexandria via LeMat-Bulk.

CIF file:
```
data_NpTlFeF6
_chemical_formula_sum 'Np2 Tl2 Fe2 F12'
_cell_length_a 6.0168
_cell_length_b 6.0168
_cell_length_c 11.3903
_cell_angle_alpha 90.00
_cell_angle_beta 90.00
_cell_angle_gamma 120.00
_symmetry_space_group_name_H-M 'P -3 1 c'
_symmetry_Int_Tables_number 163
_symmetry_space_group_name_Hall '-P 3 2c'
loop_
_atom_site_label
_atom_site_type_symbol
_atom_site_fract_x
_atom_site_fract_y
_atom_site_fract_z
Np1 Np 0.3333 0.6667 0.2500
Tl1 Tl 0.0000 0.0000 0.0000
Fe1 Fe 0.3333 0.6667 0.7500
F1 F 0.0124 0.3814 0.6482
```

final energy = -6.16 eV/atom

Record 17
First-principles (PBE+U) data for an optimized crystal structure of Fe2OF, as listed in Alexandria via LeMat-Bulk.

CIF file:
```
data_Fe2OF
_chemical_formula_sum 'Fe8 O4 F4'
_cell_length_a 5.457
_cell_length_b 5.457
_cell_length_c 5.457
_cell_angle_alpha 90.00
_cell_angle_beta 90.00
_cell_angle_gamma 90.00
_symmetry_space_group_name_H-M 'F m -3 m'
_symmetry_Int_Tables_number 225
_symmetry_space_group_name_Hall '-F 4 2 3'
loop_
_atom_site_label
_atom_site_type_symbol
_atom_site_fract_x
_atom_site_fract_y
_atom_site_fract_z
Fe1 Fe 0.250 0.250 0.250
O1 O 0.000 0.000 0.000
F1 F 0.000 0.000 0.500
```

relative energy among the computed polymorphs = 118 kJ/mol of formula units
final energy = -5.38 eV/atom

Record 18
First-principles (PBE+U) data for an optimized crystal structure of Fe10O9F11, as listed in Alexandria via LeMat-Bulk.

CIF file:
```
data_Fe10O9F11
_chemical_formula_sum 'Fe20 O18 F22'
_cell_length_a 15.203
_cell_length_b 7.101
_cell_length_c 6.310
_cell_angle_alpha 90.00
_cell_angle_beta 90.00
_cell_angle_gamma 90.00
_symmetry_space_group_name_H-M 'A m m 2'
_symmetry_Int_Tables_number 38
_symmetry_space_group_name_Hall 'A 2 -2'
loop_
_atom_site_label
_atom_site_type_symbol
_atom_site_fract_x
_atom_site_fract_y
_atom_site_fract_z
Fe1 Fe 0.000 0.000 0.000
Fe2 Fe 0.102 0.000 0.500
Fe3 Fe 0.198 0.000 0.000
Fe4 Fe 0.299 0.000 0.498
Fe5 Fe 0.392 0.000 0.993
Fe6 Fe 0.500 0.000 0.528
O1 O 0.101 0.000 0.197
O2 O 0.101 0.000 0.803
O3 O 0.294 0.000 0.798
O4 O 0.296 0.000 0.199
O5 O 0.500 0.000 0.833
F1 F 0.000 0.192 0.500
F2 F 0.200 0.190 0.498
F3 F 0.393 0.200 0.503
F4 F 0.500 0.000 0.215
```

relative energy among the computed polymorphs = 731 kJ/mol of formula units
final energy = -5.67 eV/atom

Record 19
First-principles (PBE+U) data for an optimized crystal structure of FeOF, as listed in Alexandria via LeMat-Bulk.

CIF file:
```
data_FeOF
_chemical_formula_sum 'Fe2 O2 F2'
_cell_length_a 3.096
_cell_length_b 3.923
_cell_length_c 6.160
_cell_angle_alpha 90.00
_cell_angle_beta 90.00
_cell_angle_gamma 90.00
_symmetry_space_group_name_H-M 'P m m n'
_symmetry_Int_Tables_number 59
loop_
_symmetry_equiv_pos_as_xyz
'x,y,z'
'-x,-y,-z'
'-x+1/2,-y+1/2,z'
'x+1/2,y+1/2,-z'
'x+1/2,-y,-z'
'-x+1/2,y,z'
'-x,y+1/2,-z'
'x,-y+1/2,z'
loop_
_atom_site_label
_atom_site_type_symbol
_atom_site_fract_x
_atom_site_fract_y
_atom_site_fract_z
Fe1 Fe 0.250 0.250 0.150
O1 O 0.250 0.750 0.078
F1 F 0.250 0.750 0.647
```

final energy = -6.02 eV/atom

Record 20
First-principles (PBE+U) data for an optimized crystal structure of Fe4OF6, as listed in Alexandria via LeMat-Bulk.

CIF file:
```
data_Fe4OF6
_chemical_formula_sum 'Fe8 O2 F12'
_cell_length_a 5.175
_cell_length_b 7.138
_cell_length_c 7.185
_cell_angle_alpha 88.83
_cell_angle_beta 89.91
_cell_angle_gamma 89.68
_symmetry_space_group_name_H-M 'P 1'
_symmetry_Int_Tables_number 1
_symmetry_space_group_name_Hall 'P 1'
loop_
_atom_site_label
_atom_site_type_symbol
_atom_site_fract_x
_atom_site_fract_y
_atom_site_fract_z
Fe1 Fe 0.000 0.000 0.000
Fe2 Fe 0.023 0.511 0.001
Fe3 Fe 0.409 0.765 0.749
Fe4 Fe 0.434 0.766 0.235
Fe5 Fe 0.498 0.274 0.282
Fe6 Fe 0.522 0.273 0.768
Fe7 Fe 0.908 0.528 0.517
Fe8 Fe 0.932 0.039 0.515
O1 O 0.212 0.766 0.007
O2 O 0.720 0.274 0.510
F1 F 0.090 0.781 0.560
F2 F 0.210 0.497 0.320
F3 F 0.216 0.472 0.723
F4 F 0.219 0.078 0.733
F5 F 0.221 0.047 0.302
F6 F 0.332 0.299 0.029
F7 F 0.597 0.736 0.488
F8 F 0.710 0.961 0.783
F9 F 0.716 0.566 0.794
F10 F 0.718 0.542 0.197
F11 F 0.718 0.990 0.219
F12 F 0.839 0.257 0.958
```

final energy = -5.74 eV/atom